[1]
The following is a PBE calculation of a geometry-optimized La8Ga2Tc structure, from Alexandria via LeMat-Bulk.

Energy of formation from the pure elements = -0.206 eV per atom
VASP energy = -5.28 eV per atom

a b c (Å): 18.5658 5.3799 7.0173
angles (deg): 90.00 109.90 90.00
With the nearest neighbours (Å) after each atom.
Space group C2/m (No. 12)
Asymmetric unit:
La: 0.0095 0.0000 0.2854 x4  2 Tc 3.12, 3 La 3.15-3.31, 1 Ga 3.38
La: 0.0909 0.5000 0.9187 x4  1 Tc 2.85
La: 0.1548 0.5000 0.4370 x4  1 Tc 3.05, 3 Ga 3.28-3.30, 1 La 3.34
La: 0.2087 0.0000 0.7726 x4  3 Ga 3.22-3.38, 3 La 3.34-3.49
Ga: 0.1774 0.0000 0.1959 x4  9 La 3.22-3.39
Tc: 0.0000 0.5000 0.5000 x2  8 La 2.85-3.12

=====

[2]
The following is a PBE calculation of a geometry-optimized CaNd4Ga4 structure, from Alexandria via LeMat-Bulk.

Energy of formation from the pure elements = -0.350 eV per atom
VASP energy = -4.04 eV per atom

a b c (Å): 9.2586 9.2586 6.2275
angles (deg): 90.00 90.00 90.00
With the nearest neighbours (Å) after each atom.
Space group P4_2/n (No. 86, origin choice 2)
Asymmetric unit:
Ca: 0.2500 0.2500 0.2500 x2  4 Ga 2.94
Nd: 0.0680 0.6574 0.1181 x8  5 Ga 3.00-3.23
Ga: 0.0219 0.6155 0.6078 x8  1 Ga 2.56